# 1
Computed, not measured: a relaxed Be2CuRu2 crystal at the GGA-PBE level of DFT.

Summary:
M_tot ... 0.000 μB/atom
Total DFT energy (no corrections) ... -5.871 eV per atom
ΔH_f (0 K) ... 0.149 eV/atom
Relative energy among the computed polymorphs ... 0.354 eV per atom

a = 6.5239 Å, b = 6.5239 Å, c = 2.8052 Å
α = 90.00°, β = 90.00°, γ = 90.00°
Element x y z (fractional)
Cu 0.0000 0.0000 0.0000
Cu 0.5000 0.5000 0.0000
Be 0.6622 0.8378 0.5000
Be 0.1622 0.6622 0.5000
Be 0.8378 0.3378 0.5000
Be 0.3378 0.1622 0.5000
Ru 0.8652 0.6348 0.0000
Ru 0.6348 0.1348 0.0000
Ru 0.1348 0.3652 0.0000
Ru 0.3652 0.8652 0.0000

# 2
Computed, not measured: a relaxed BeCu4Ru crystal at the GGA-PBE level of DFT.

Summary:
M_tot ... 0.000 μB/atom
Total DFT energy (no corrections) ... -4.577 eV per atom
ΔH_f (0 K) ... 0.321 eV/atom

a = 4.7057 Å, b = 4.7057 Å, c = 4.7057 Å
α = 60.00°, β = 60.00°, γ = 60.00°
Element x y z (fractional)
Cu 0.3748 0.3748 0.8756
Cu 0.8756 0.3748 0.3748
Cu 0.3748 0.8756 0.3748
Cu 0.3748 0.3748 0.3748
Ru 0.7500 0.7500 0.7500
Be 0.0000 0.0000 0.0000